# 1
Computed, not measured: a geometry-optimized Li2YSn3 structure at the PBE level of DFT.

```
6
Lattice="-1.101 3.978 1.657 -0.811 -1.903 4.029 6.887 1.996 -0.217" Properties=species:S:1:pos:R:3 pbc="T T T"
Sn 1.660 2.345 1.441
Sn 3.316 1.726 4.028
Sn -0.956 1.037 2.843
Y 0.000 0.000 0.000
Li 4.113 0.663 1.140
Li 1.964 -0.570 2.672
```

Computed properties:
Space group ... Cmmm (65)
Total moment ... 0.00 μB/atom
Energy of formation from the pure elements ... -480.5 meV/atom
VASP energy ... -4.197 eV/atom

---

# 2
Computed, not measured: a geometry-optimized Li2Y5Sn5 structure at the PBE level of DFT.

```
12
Lattice="-0.176 -0.889 4.606 1.418 -5.231 -3.348 9.499 8.878 2.076" Properties=species:S:1:pos:R:3 pbc="T T T"
Sn 7.814 4.502 3.559
Sn 0.000 0.000 0.000
Sn 4.588 2.187 0.597
Sn 6.152 0.571 2.737
Sn 2.926 -1.745 -0.225
Li 3.154 -3.574 1.822
Li 7.587 6.332 1.512
Y 0.421 -2.162 1.991
Y 3.020 0.076 2.522
Y 10.319 4.919 1.343
Y 7.721 2.681 0.812
Y 4.661 3.994 3.341
```

Computed properties:
Space group ... C2/m (12)
Total moment ... 0.00 μB/atom
Energy of formation from the pure elements ... -523.0 meV/atom
VASP energy ... -5.203 eV/atom